Here is crystalline LaScRe at its relaxed geometry from Alexandria. Energies are from PBE.

```
LaScRe
1.0
-2.778 2.530 2.749
0.264 -0.453 4.626
1.784 3.442 2.578
Sc La Re
1 1 1
direct
0.500 0.500 0.500
0.750 0.750 0.750
0.000 0.000 0.000
```

calculated formation energy = 3.6 eV/f.u.
spin magnetization = 0.00 μB/f.u.
distance to the lowest polymorph of the same formula = 1051 meV per atom

Here is crystalline HgAsRh at its relaxed geometry from Alexandria. Energies are from PBE.

```
HgAsRh
1.0
-3.924 1.508 -1.331
-0.853 0.428 -4.305
-2.859 -2.724 -1.963
Rh As Hg
1 1 1
direct
0.750 0.750 0.750
0.000 0.000 0.000
0.500 0.500 0.500
```

calculated formation energy = 0.2 eV/f.u.
spin magnetization = 0.00 μB/f.u.
distance to the lowest polymorph of the same formula = 242 meV per atom

Here is crystalline La8TbIn2 at its relaxed geometry from Alexandria. Energies are from PBE.

```
La8TbIn2
1.0
-2.264 3.911 -2.790
-7.823 -4.765 -0.333
2.695 3.819 8.228
La In Tb
8 2 1
direct
0.000 0.330 0.000
0.000 0.670 0.000
0.149 0.150 0.299
0.341 0.556 0.682
0.659 0.444 0.318
0.341 0.126 0.682
0.659 0.874 0.318
0.851 0.850 0.701
0.198 0.698 0.396
0.802 0.302 0.604
0.500 0.000 0.000
```

calculated formation energy = -1.5 eV/f.u.
spin magnetization = 0.00 μB/f.u.

Here is crystalline Ac2ZrSn4Pd3 at its relaxed geometry from Alexandria. Energies are from PBE.

```
Ac2ZrSn4Pd3
1.0
4.580 0.000 0.000
0.000 4.580 0.000
0.000 0.000 11.934
Sn Pd Ac Zr
4 3 2 1
direct
0.000 0.000 0.000
0.000 0.500 0.355
0.500 0.500 0.000
0.500 0.000 0.645
0.500 0.000 0.872
0.000 0.500 0.128
0.000 0.000 0.500
0.500 0.000 0.239
0.000 0.500 0.761
0.500 0.500 0.500
```

calculated formation energy = -7.5 eV/f.u.
spin magnetization = 0.00 μB/f.u.

Here is crystalline SrSi3Os at its relaxed geometry from Alexandria. Energies are from PBE.

```
SrSi3Os
1.0
5.027 0.000 0.000
0.000 5.027 0.000
0.000 0.000 5.027
Si Sr Os
3 1 1
direct
0.000 0.500 0.000
0.500 0.000 0.000
0.000 0.000 0.500
0.000 0.000 0.000
0.500 0.500 0.500
```

formation energy without anion corrections = 2.781 eV per atom
spin magnetization = 0.00 μB/f.u.

Here is crystalline MgTaInOs at its relaxed geometry from Alexandria. Energies are from PBE.

```
MgTaInOs
1.0
4.596 0.000 0.000
2.298 3.980 0.000
2.298 1.327 3.753
Os Ta In Mg
1 1 1 1
direct
0.250 0.250 0.250
0.000 0.000 0.000
0.500 0.500 0.500
0.750 0.750 0.750
```

calculated formation energy = 0.0 eV/f.u.
spin magnetization = 0.00 μB/f.u.

Here is crystalline RbAgAuSe at its relaxed geometry from Alexandria. Energies are from PBE.

```
RbAgAuSe
1.0
-2.869 -1.191 2.679
2.303 -3.235 1.028
5.907 7.237 9.542
Rb Ag Au Se
2 2 2 2
direct
0.750 0.750 0.270
0.250 0.250 0.730
0.750 0.250 0.000
0.250 0.750 0.000
0.250 0.750 0.500
0.750 0.250 0.500
0.250 0.250 0.135
0.750 0.750 0.865
```

formation energy without anion corrections = -0.354 eV per atom
spin magnetization = 0.00 μB/f.u.

Here is crystalline Sm4Al12Zn at its relaxed geometry from Alexandria. Energies are from PBE.

```
Sm4Al12Zn
1.0
-7.304 2.179 -0.046
0.762 -6.244 4.304
4.304 5.600 2.865
Sm Al Zn
4 12 1
direct
0.500 0.500 0.500
0.500 0.000 0.000
0.000 0.500 0.000
0.000 0.000 0.500
0.000 0.696 0.696
0.250 0.750 0.500
0.304 0.304 0.000
0.000 0.304 0.304
0.750 0.250 0.500
0.304 0.000 0.304
0.500 0.250 0.750
0.696 0.696 0.000
0.500 0.750 0.250
0.750 0.500 0.250
0.696 0.000 0.696
0.250 0.500 0.750
0.000 0.000 0.000
```

calculated formation energy = -6.6 eV/f.u.
spin magnetization = 0.00 μB/f.u.

Here is crystalline CsMn3I at its relaxed geometry from Alexandria. Energies are from PBE.

```
CsMn3I
1.0
6.444 0.000 0.000
0.000 6.444 0.000
0.000 0.000 6.444
Cs I Mn
1 1 3
direct
0.000 0.000 0.000
0.500 0.500 0.500
0.000 0.000 0.500
0.500 0.000 0.000
0.000 0.500 0.000
```

formation energy without anion corrections = 1.970 eV per atom
spin magnetization = 15.00 μB/f.u.
distance to the lowest polymorph of the same formula = 601 meV per atom

Here is crystalline TcAgCl3 at its relaxed geometry from Alexandria. Energies are from PBE.

```
TcAgCl3
1.0
5.056 0.000 0.000
0.000 5.056 0.000
0.000 0.000 5.056
Cl Tc Ag
3 1 1
direct
0.000 0.500 0.000
0.000 0.000 0.500
0.500 0.000 0.000
0.500 0.500 0.500
0.000 0.000 0.000
```

formation energy without anion corrections = 0.474 eV per atom
spin magnetization = 4.72 μB/f.u.
distance to the lowest polymorph of the same formula = 500 meV per atom

Here is crystalline BaMn2Ir at its relaxed geometry from Alexandria. Energies are from PBE.

```
BaMn2Ir
1.0
-1.173 0.031 3.029
-2.793 -2.171 -1.059
4.097 -6.073 1.648
Mn Ba Ir
2 1 1
direct
0.000 0.000 0.960
0.500 0.500 0.175
0.000 0.000 0.522
0.500 0.500 0.842
```

calculated formation energy = 1.8 eV/f.u.
spin magnetization = 8.58 μB/f.u.

Here is crystalline Li2InBr at its relaxed geometry from Alexandria. Energies are from PBE.

```
Li2InBr
1.0
5.810 -0.015 -0.003
1.141 5.697 0.003
-2.144 -4.470 3.030
Br Li In
1 2 1
direct
0.750 0.250 0.500
0.961 0.961 0.000
0.539 0.539 0.000
0.250 0.750 0.500
```

formation energy without anion corrections = -0.543 eV per atom
spin magnetization = 0.00 μB/f.u.
distance to the lowest polymorph of the same formula = 182 meV per atom